# 1
! Ce4PI5, optimized geometry, DFT PBE; values from VASP
&SYSTEM
  ibrav = 0, nat = 10, ntyp = 3
/
ATOMIC_SPECIES
Ce 140.12 Ce.upf
P 30.97 P.upf
I 126.90 I.upf
ATOMIC_POSITIONS angstrom
Ce -0.552 0.000 2.558
Ce 5.931 0.000 3.770
Ce 11.366 0.000 5.034
Ce 17.849 0.000 6.246
P 8.649 0.000 4.402
I 1.520 0.000 7.420
I 2.687 0.000 2.784
I 9.651 0.000 0.000
I 14.610 0.000 6.020
I 15.777 0.000 1.384
CELL_PARAMETERS angstrom
9.651 -2.107 0.000
9.651 2.107 0.000
-2.006 0.000 8.804
! energy relative to the elements, uncorrected: -1281 meV/atom
! mass density: 5.7 g cm⁻³
! total energy: -4.9706 eV per atom
! spin magnetization: 4.59 μB/f.u.


# 2
! PPbN3, optimized geometry, DFT PBE; values from VASP
&SYSTEM
  ibrav = 0, nat = 5, ntyp = 3
/
ATOMIC_SPECIES
P 30.97 P.upf
Pb 207.20 Pb.upf
N 14.01 N.upf
ATOMIC_POSITIONS angstrom
P 0.000 0.000 0.000
Pb 1.849 1.849 1.849
N 0.000 0.000 1.849
N 0.000 1.849 0.000
N 1.849 0.000 0.000
CELL_PARAMETERS angstrom
3.698 0.000 0.000
0.000 3.698 0.000
0.000 0.000 3.698
! energy relative to the elements, uncorrected: 1005 meV/atom
! mass density: 9.2 g cm⁻³
! total energy: -5.8135 eV per atom
! spin magnetization: 0.00 μB/f.u.


# 3
! HoSi3Ir3, optimized geometry, DFT PBE; values from VASP
&SYSTEM
  ibrav = 0, nat = 14, ntyp = 3
/
ATOMIC_SPECIES
Ho 164.93 Ho.upf
Si 28.09 Si.upf
Ir 192.22 Ir.upf
ATOMIC_POSITIONS angstrom
Ho 0.000 0.000 0.000
Ho 3.267 3.267 3.267
Si 0.000 1.634 3.267
Si 0.000 4.901 3.267
Si 1.634 3.267 0.000
Si 3.267 0.000 1.634
Si 3.267 0.000 4.901
Si 4.901 3.267 0.000
Ir 0.000 3.267 1.634
Ir 0.000 3.267 4.901
Ir 1.634 0.000 3.267
Ir 3.267 1.634 0.000
Ir 3.267 4.901 0.000
Ir 4.901 0.000 3.267
CELL_PARAMETERS angstrom
6.534 0.000 0.000
0.000 6.534 0.000
0.000 0.000 6.534
! energy relative to the elements, uncorrected: -382 meV/atom
! mass density: 9.8 g cm⁻³
! total energy: -7.1578 eV per atom
! spin magnetization: 0.00 μB/f.u.


# 4
! MgOs2Pt, optimized geometry, DFT PBE; values from VASP
&SYSTEM
  ibrav = 0, nat = 4, ntyp = 3
/
ATOMIC_SPECIES
Mg 24.30 Mg.upf
Os 190.23 Os.upf
Pt 195.08 Pt.upf
ATOMIC_POSITIONS angstrom
Mg 0.000 0.000 0.000
Os 1.383 2.099 1.250
Os 1.383 2.099 3.978
Pt 0.000 0.000 2.614
CELL_PARAMETERS angstrom
2.766 0.000 0.000
0.000 4.198 0.000
0.000 0.000 5.228
! mass density: 16.4 g cm⁻³
! total energy: -7.2520 eV per atom
! calculated formation energy: 1.09 eV/f.u.
! spin magnetization: 0.00 μB/f.u.